# GaSbPd2

An optimized crystal structure of GaSbPd2 (PBE, the Alexandria database).

a b c (Å): 3.196 3.196 6.842
angles (deg): 90.00 90.00 90.00
Fractional coordinates of all 4 atoms:
Ga1 0.000 0.000 0.000
Sb1 0.000 0.000 0.500
Pd1 0.500 0.500 0.208
Pd2 0.500 0.500 0.792

Summary:
Total moment   0.00 μB per formula unit
Excess energy over the best structure of this formula in the dataset   0.107 eV/atom
DOS at the Fermi energy   1.31 states/eV/f.u.



# Ga2SbPd5

An optimized crystal structure of Ga2SbPd5 (PBE, the Alexandria database).

a b c (Å): 7.306 7.306 7.306
angles (deg): 123.83 123.83 83.48
Fractional coordinates of all 16 atoms:
Ga1 0.143 0.643 0.786
Ga2 0.357 0.143 0.500
Ga3 0.643 0.857 0.500
Ga4 0.857 0.357 0.214
Sb1 0.250 0.250 0.000
Sb2 0.750 0.750 0.000
Pd1 0.000 0.000 0.000
Pd2 0.003 0.196 0.500
Pd3 0.196 0.696 0.193
Pd4 0.304 0.497 0.500
Pd5 0.497 0.997 0.193
Pd6 0.500 0.500 0.000
Pd7 0.503 0.003 0.807
Pd8 0.696 0.503 0.500
Pd9 0.804 0.304 0.807
Pd10 0.997 0.804 0.500

Summary:
Total moment   0.00 μB per formula unit
Total energy   -80.74 eV/cell
DOS at the Fermi energy   4.08 states/eV/f.u.



# Ga6SbPd12

An optimized crystal structure of Ga6SbPd12 (PBE, the Alexandria database).

a b c (Å): 7.144 7.144 7.144
angles (deg): 99.85 99.85 99.85
Fractional coordinates of all 19 atoms:
Ga1 0.038 0.779 0.653
Ga2 0.221 0.347 0.962
Ga3 0.347 0.962 0.221
Ga4 0.653 0.038 0.779
Ga5 0.779 0.653 0.038
Ga6 0.962 0.221 0.347
Sb1 0.500 0.500 0.500
Pd1 0.022 0.887 0.321
Pd2 0.113 0.679 0.978
Pd3 0.176 0.474 0.626
Pd4 0.321 0.022 0.887
Pd5 0.374 0.824 0.526
Pd6 0.474 0.626 0.176
Pd7 0.526 0.374 0.824
Pd8 0.626 0.176 0.474
Pd9 0.679 0.978 0.113
Pd10 0.824 0.526 0.374
Pd11 0.887 0.321 0.022
Pd12 0.978 0.113 0.679

Summary:
Total moment   0.00 μB per formula unit
Total energy   -92.55 eV/cell
DOS at the Fermi energy   6.65 states/eV/f.u.



# GaSbPd

An optimized crystal structure of GaSbPd (PBE, the Alexandria database).

a b c (Å): 4.469 4.469 4.469
angles (deg): 60.00 60.00 60.00
Fractional coordinates of all 3 atoms:
Ga1 0.000 0.000 0.000
Sb1 0.500 0.500 0.500
Pd1 0.750 0.750 0.750

Summary:
Total moment   0.00 μB per formula unit
Excess energy over the best structure of this formula in the dataset   0.000 eV/atom
DOS at the Fermi energy   1.30 states/eV/f.u.



# GaSb2Pd8

An optimized crystal structure of GaSb2Pd8 (PBE, the Alexandria database).

a b c (Å): 7.467 7.467 6.531
angles (deg): 112.35 112.35 33.43
Fractional coordinates of all 11 atoms:
Ga1 0.000 0.000 0.000
Sb1 0.322 0.322 0.331
Sb2 0.678 0.678 0.669
Pd1 0.089 0.089 0.435
Pd2 0.169 0.169 0.937
Pd3 0.316 0.316 0.736
Pd4 0.473 0.473 0.193
Pd5 0.527 0.527 0.807
Pd6 0.684 0.684 0.264
Pd7 0.831 0.831 0.063
Pd8 0.911 0.911 0.565

Summary:
Total moment   0.00 μB per formula unit
Excess energy over the best structure of this formula in the dataset   0.009 eV/atom
DOS at the Fermi energy   4.90 states/eV/f.u.



# GaSb3Pd8

An optimized crystal structure of GaSb3Pd8 (PBE, the Alexandria database).

a b c (Å): 5.822 5.822 7.833
angles (deg): 112.13 112.13 85.02
Fractional coordinates of all 12 atoms:
Ga1 0.000 0.000 0.000
Sb1 0.283 0.779 0.524
Sb2 0.523 0.523 0.066
Sb3 0.779 0.283 0.524
Pd1 0.152 0.152 0.796
Pd2 0.160 0.642 0.785
Pd3 0.378 0.978 0.277
Pd4 0.642 0.160 0.785
Pd5 0.659 0.659 0.813
Pd6 0.732 0.732 0.493
Pd7 0.889 0.889 0.252
Pd8 0.978 0.378 0.277

Summary:
Total moment   0.00 μB per formula unit
Total energy   -61.44 eV/cell
DOS at the Fermi energy   5.18 states/eV/f.u.



# Ga2SbPd2

An optimized crystal structure of Ga2SbPd2 (PBE, the Alexandria database).

a b c (Å): 6.888 6.888 6.888
angles (deg): 148.08 148.08 45.77
Fractional coordinates of all 5 atoms:
Ga1 0.250 0.750 0.500
Ga2 0.750 0.250 0.500
Sb1 0.000 0.000 0.000
Pd1 0.389 0.389 0.000
Pd2 0.611 0.611 0.000

Summary:
Total moment   0.00 μB per formula unit
Excess energy over the best structure of this formula in the dataset   0.013 eV/atom
DOS at the Fermi energy   2.32 states/eV/f.u.



# GaSbPd2

An optimized crystal structure of GaSbPd2 (PBE, the Alexandria database).

a b c (Å): 7.173 6.622 6.159
angles (deg): 90.00 90.09 90.00
Fractional coordinates of all 16 atoms:
Ga1 0.117 0.061 0.310
Ga2 0.117 0.439 0.810
Ga3 0.883 0.561 0.190
Ga4 0.883 0.939 0.690
Sb1 0.369 0.585 0.198
Sb2 0.369 0.915 0.698
Sb3 0.631 0.085 0.302
Sb4 0.631 0.415 0.802
Pd1 0.103 0.692 0.496
Pd2 0.103 0.808 0.996
Pd3 0.348 0.199 0.010
Pd4 0.348 0.301 0.510
Pd5 0.652 0.699 0.490
Pd6 0.652 0.801 0.990
Pd7 0.897 0.192 0.004
Pd8 0.897 0.308 0.504

Summary:
Total moment   0.00 μB per formula unit
Excess energy over the best structure of this formula in the dataset   0.000 eV/atom
DOS at the Fermi energy   1.31 states/eV/f.u.